Compound: Ca2MoO
Source: the Alexandria database
Functional: PBE+U
Structure: relaxed

Unit cell a=6.973 b=6.973 c=9.245 alpha=90.00 beta=90.00 gamma=90.00
Space group I-42d (No. 122)
One atom of each set of equivalent atoms:
1 Ca 0.106 0.750 0.125 [8 per cell]
2 Mo 0.000 0.000 0.500 [4 per cell]
3 O 0.000 0.000 0.000 [4 per cell]

Properties
- magnetization (μB per cell) = 22.2
- density of states at the Fermi level (states/eV/cell) = 8.57
- uncorrected energy (eV per atom) = -4.7797